Compound: DyMg2Sb
Source: the Alexandria database
Functional: GGA-PBE
Structure: optimized geometry

Summary:
Formation energy from raw total energies, eV per atom: -0.443
Total energy, eV/atom: -3.422

Lattice parameters (Å, degrees): 4.4737 4.4737 4.8614 90.00 90.00 90.00
Fractional positions:
Dy1 0.0000 0.0000 0.0000
Mg1 0.0000 0.5000 0.5000
Mg2 0.5000 0.0000 0.5000
Sb1 0.5000 0.5000 0.0000

Compound: Mg2TlPRu
Source: the Alexandria database
Functional: GGA-PBE
Structure: optimized geometry

Summary:
ΔE_f, eV per atom: 1.247
Total energy, eV/atom: -2.801

Lattice parameters (Å, degrees): 5.1197 5.1197 5.0422 90.00 90.00 90.00
Fractional positions:
Mg1 0.0000 0.5000 0.0000
Mg2 0.5000 0.0000 0.0000
Tl1 0.0000 0.0000 0.0000
P1 0.5000 0.5000 0.5000
Ru1 0.0000 0.0000 0.5000

Compound: Th3Ge4Ir2
Source: the Alexandria database
Functional: GGA-PBE
Structure: optimized geometry

Summary:
ΔE_f, eV per atom: -0.777
Energy above the most stable polymorph in this dataset, eV/atom: 0.0861
Total energy, eV/atom: -7.271

Lattice parameters (Å, degrees): 5.9750 5.9750 8.4604 107.62 107.62 42.90
Fractional positions:
Th1 0.0000 0.0000 0.0000
Th2 0.3750 0.3750 0.3067
Th3 0.6250 0.6250 0.6933
Ge1 0.0882 0.0882 0.3901
Ge2 0.2890 0.2890 0.9268
Ge3 0.7110 0.7110 0.0732
Ge4 0.9118 0.9118 0.6099
Ir1 0.3048 0.3048 0.6325
Ir2 0.6952 0.6952 0.3675

Compound: KNpRe2O8
Source: the Alexandria database
Functional: GGA-PBE
Structure: optimized geometry

Summary:
Formation energy from raw total energies, eV per atom: -1.863
Total energy, eV/atom: -8.413

Lattice parameters (Å, degrees): 6.0346 6.0346 7.6234 90.00 90.00 120.00
Fractional positions:
K1 0.0000 0.0000 0.0000
Np1 0.0000 0.0000 0.5000
Re1 0.3333 0.6667 0.7680
Re2 0.6667 0.3333 0.2320
O1 0.1662 0.3385 0.6834
O2 0.1723 0.8338 0.6834
O3 0.3333 0.6667 0.9991
O4 0.3385 0.1723 0.3166
O5 0.6615 0.8277 0.6834
O6 0.6667 0.3333 0.0009
O7 0.8277 0.1662 0.3166
O8 0.8338 0.6615 0.3166